# 1
Here is a PBEsol-optimized structure of K3SrCl from the Alexandria database. Energies are from SCAN.

The structure in POSCAR format:
```
K3SrCl
1.0
7.851 0.000 0.000
0.000 7.851 0.000
0.000 0.000 7.851
K Sr Cl
3 1 1
direct
0.000 0.000 0.500
0.000 0.500 0.000
0.500 0.000 0.000
0.000 0.000 0.000
0.500 0.500 0.500
```

calculated total energy: -54.7 eV per cell
DOS at the Fermi energy: 0.41 states/eV per atom

---

# 2
Here is a PBEsol-optimized structure of KSrCl2 from the Alexandria database. Energies are from SCAN.

The structure in POSCAR format:
```
KSrCl2
1.0
2.065 -4.359 0.000
2.065 4.359 0.000
0.000 0.000 8.623
K Sr Cl
1 1 2
direct
0.000 0.000 0.000
0.000 0.000 0.500
0.500 0.500 0.261
0.500 0.500 0.739
```

polymorph energy (0 for the lowest one): 53.5 meV per atom
calculated total energy: -54.0 eV per cell
DOS at the Fermi energy: 0.31 states/eV per atom

---

# 3
Here is a PBEsol-optimized structure of KSrCl2 from the Alexandria database. Energies are from SCAN.

The structure in POSCAR format:
```
KSrCl2
1.0
5.436 0.000 0.000
0.000 5.436 0.000
0.000 0.000 3.616
K Sr Cl
1 1 2
direct
0.000 0.000 0.000
0.500 0.500 0.000
0.000 0.500 0.500
0.500 0.000 0.500
```

polymorph energy (0 for the lowest one): 186.6 meV per atom
calculated total energy: -53.5 eV per cell
DOS at the Fermi energy: 0.43 states/eV per atom

---

# 4
Here is a PBEsol-optimized structure of KTa2Cl from the Alexandria database. Energies are from SCAN.

The structure in POSCAR format:
```
KTa2Cl
1.0
3.099 0.000 0.000
0.000 6.718 0.000
-0.066 0.000 4.522
K Ta Cl
1 2 1
direct
0.000 0.000 0.000
0.257 0.500 0.238
0.743 0.500 0.762
0.500 0.000 0.500
```

polymorph energy (0 for the lowest one): 525.5 meV per atom
calculated total energy: -147.5 eV per cell
DOS at the Fermi energy: 0.51 states/eV per atom

---

# 5
Here is a PBEsol-optimized structure of K3TaCl from the Alexandria database. Energies are from SCAN.

The structure in POSCAR format:
```
K3TaCl
1.0
5.871 0.000 0.000
0.000 5.871 0.000
0.000 0.000 5.871
K Ta Cl
3 1 1
direct
0.000 0.000 0.500
0.000 0.500 0.000
0.500 0.000 0.000
0.500 0.500 0.500
0.000 0.000 0.000
```

calculated total energy: -97.8 eV per cell
DOS at the Fermi energy: 1.68 states/eV per atom

---

# 6
Here is a PBEsol-optimized structure of K2TaCl from the Alexandria database. Energies are from SCAN.

The structure in POSCAR format:
```
K2TaCl
1.0
-2.361 2.361 6.048
2.361 -2.361 6.048
2.361 2.361 -6.048
K Ta Cl
2 1 1
direct
0.000 0.000 0.000
0.750 0.250 0.500
0.500 0.500 0.000
0.250 0.750 0.500
```

calculated total energy: -88.2 eV per cell
DOS at the Fermi energy: 1.64 states/eV per atom

---

# 7
Here is a PBEsol-optimized structure of KTa2Cl from the Alexandria database. Energies are from SCAN.

The structure in POSCAR format:
```
KTa2Cl
1.0
3.474 0.000 0.000
0.000 2.992 0.000
-1.635 0.000 8.858
K Ta Cl
1 2 1
direct
0.000 0.000 0.000
0.281 0.000 0.530
0.672 0.500 0.352
0.392 0.500 0.771
```

polymorph energy (0 for the lowest one): 0.0 meV per atom
calculated total energy: -149.6 eV per cell
DOS at the Fermi energy: 0.58 states/eV per atom

---

# 8
Here is a PBEsol-optimized structure of KTa2TlCl from the Alexandria database. Energies are from SCAN.

The structure in POSCAR format:
```
KTa2TlCl
1.0
5.168 0.000 0.000
0.000 5.168 0.000
0.000 0.000 6.750
K Ta Tl Cl
1 2 1 1
direct
0.000 0.000 0.000
0.000 0.500 0.500
0.500 0.000 0.500
0.000 0.000 0.500
0.500 0.500 0.000
```

calculated total energy: -214.1 eV per cell
DOS at the Fermi energy: 1.18 states/eV per atom

---

# 9
Here is a PBEsol-optimized structure of KTb2Cl7 from the Alexandria database. Energies are from SCAN.

The structure in POSCAR format:
```
KTb2Cl7
1.0
6.861 0.000 0.000
0.000 12.404 0.000
-0.471 0.000 12.931
K Tb Cl
4 8 28
direct
0.192 0.215 0.471
0.192 0.285 0.971
0.808 0.715 0.029
0.808 0.785 0.529
0.215 0.536 0.261
0.215 0.964 0.761
0.285 0.660 0.757
0.285 0.840 0.257
0.715 0.160 0.743
0.715 0.340 0.243
0.785 0.036 0.239
0.785 0.464 0.739
0.005 0.207 0.186
0.005 0.293 0.686
0.035 0.567 0.620
0.035 0.933 0.120
0.075 0.525 0.873
0.075 0.975 0.373
0.255 0.686 0.107
0.255 0.814 0.607
0.440 0.061 0.623
0.440 0.439 0.123
0.446 0.097 0.875
0.446 0.403 0.375
0.481 0.673 0.340
0.481 0.827 0.840
0.519 0.173 0.160
0.519 0.327 0.660
0.554 0.597 0.625
0.554 0.903 0.125
0.560 0.561 0.877
0.560 0.939 0.377
0.745 0.186 0.393
0.745 0.314 0.893
0.925 0.025 0.627
0.925 0.475 0.127
0.965 0.067 0.880
0.965 0.433 0.380
0.995 0.707 0.314
0.995 0.793 0.814
```

calculated total energy: -730.7 eV per cell
DOS at the Fermi energy: 0.00 states/eV per atom

---

# 10
Here is a PBEsol-optimized structure of K2TbCl5 from the Alexandria database. Energies are from SCAN.

The structure in POSCAR format:
```
K2TbCl5
1.0
12.578 0.000 0.000
0.000 8.462 0.000
0.000 0.000 7.874
K Tb Cl
8 4 20
direct
0.172 0.005 0.056
0.172 0.495 0.056
0.328 0.505 0.556
0.328 0.995 0.556
0.672 0.005 0.444
0.672 0.495 0.444
0.828 0.505 0.944
0.828 0.995 0.944
0.005 0.250 0.575
0.495 0.750 0.075
0.505 0.250 0.925
0.995 0.750 0.425
0.010 0.250 0.916
0.074 0.544 0.664
0.074 0.956 0.664
0.178 0.250 0.380
0.200 0.750 0.343
0.300 0.250 0.843
0.322 0.750 0.880
0.426 0.044 0.164
0.426 0.456 0.164
0.490 0.750 0.416
0.510 0.250 0.584
0.574 0.544 0.836
0.574 0.956 0.836
0.678 0.250 0.120
0.700 0.750 0.157
0.800 0.250 0.657
0.822 0.750 0.620
0.926 0.044 0.336
0.926 0.456 0.336
0.990 0.750 0.084
```

calculated total energy: -490.9 eV per cell
DOS at the Fermi energy: 0.00 states/eV per atom

---

# 11
Here is a PBEsol-optimized structure of K2TcCl from the Alexandria database. Energies are from SCAN.

The structure in POSCAR format:
```
K2TcCl
1.0
5.864 0.000 0.000
0.000 5.864 0.000
0.000 0.000 3.245
K Tc Cl
2 1 1
direct
0.000 0.500 0.000
0.500 0.000 0.000
0.000 0.000 0.500
0.500 0.500 0.500
```

polymorph energy (0 for the lowest one): 78.5 meV per atom
calculated total energy: -58.7 eV per cell
DOS at the Fermi energy: 0.56 states/eV per atom

---

# 12
Here is a PBEsol-optimized structure of K3Tc2Cl8 from the Alexandria database. Energies are from SCAN.

The structure in POSCAR format:
```
K3Tc2Cl8
1.0
12.584 0.000 0.000
-6.292 10.898 0.000
0.000 0.000 8.037
K Tc Cl
9 6 24
direct
0.000 0.295 0.167
0.181 0.671 0.576
0.295 0.000 0.833
0.329 0.510 0.909
0.490 0.819 0.243
0.510 0.329 0.091
0.671 0.181 0.424
0.705 0.705 0.500
0.819 0.490 0.757
0.084 0.644 0.100
0.356 0.440 0.433
0.440 0.356 0.567
0.560 0.916 0.767
0.644 0.084 0.900
0.916 0.560 0.233
0.052 0.749 0.883
0.061 0.499 0.893
0.171 0.371 0.568
0.200 0.829 0.235
0.208 0.577 0.233
0.251 0.303 0.217
0.303 0.251 0.783
0.369 0.792 0.900
0.371 0.171 0.432
0.423 0.631 0.566
0.438 0.939 0.560
0.499 0.061 0.107
0.501 0.562 0.227
0.562 0.501 0.773
0.577 0.208 0.767
0.629 0.800 0.901
0.631 0.423 0.434
0.697 0.948 0.550
0.749 0.052 0.117
0.792 0.369 0.100
0.800 0.629 0.099
0.829 0.200 0.765
0.939 0.438 0.440
0.948 0.697 0.450
```

calculated total energy: -534.9 eV per cell

---

# 13
Here is a PBEsol-optimized structure of K2TcCl from the Alexandria database. Energies are from SCAN.

The structure in POSCAR format:
```
K2TcCl
1.0
1.660 0.958 10.201
-1.660 0.958 10.201
0.000 -1.917 10.201
K Tc Cl
2 1 1
direct
0.238 0.238 0.238
0.762 0.762 0.762
0.000 0.000 0.000
0.500 0.500 0.500
```

polymorph energy (0 for the lowest one): 0.0 meV per atom
calculated total energy: -59.1 eV per cell
DOS at the Fermi energy: 0.71 states/eV per atom

---

# 14
Here is a PBEsol-optimized structure of KTcCl3 from the Alexandria database. Energies are from SCAN.

The structure in POSCAR format:
```
KTcCl3
1.0
4.145 -6.932 0.000
4.145 6.932 0.000
-0.736 0.000 8.681
K Tc Cl
4 4 12
direct
0.166 0.834 0.500
0.236 0.902 0.990
0.834 0.166 0.000
0.902 0.236 0.490
0.400 0.499 0.812
0.499 0.400 0.312
0.581 0.682 0.666
0.682 0.581 0.166
0.119 0.526 0.780
0.210 0.240 0.160
0.240 0.210 0.660
0.384 0.594 0.432
0.489 0.698 0.046
0.526 0.119 0.280
0.551 0.961 0.701
0.594 0.384 0.932
0.698 0.489 0.546
0.845 0.872 0.314
0.872 0.845 0.814
0.961 0.551 0.201
```

calculated total energy: -296.6 eV per cell
DOS at the Fermi energy: 0.00 states/eV per atom

---

# 15
Here is a PBEsol-optimized structure of KTeCl2 from the Alexandria database. Energies are from SCAN.

The structure in POSCAR format:
```
KTeCl2
1.0
3.396 0.000 0.000
0.000 3.396 0.000
0.000 0.000 8.388
K Te Cl
1 1 2
direct
0.000 0.000 0.000
0.000 0.000 0.500
0.500 0.500 0.229
0.500 0.500 0.771
```

polymorph energy (0 for the lowest one): 80.5 meV per atom
calculated total energy: -64.9 eV per cell
DOS at the Fermi energy: 0.66 states/eV per atom

---

# 16
Here is a PBEsol-optimized structure of K2TeCl6 from the Alexandria database. Energies are from SCAN.

The structure in POSCAR format:
```
K2TeCl6
1.0
0.000 5.035 5.035
5.035 0.000 5.035
5.035 5.035 0.000
K Te Cl
2 1 6
direct
0.250 0.250 0.250
0.750 0.750 0.750
0.000 0.000 0.000
0.252 0.252 0.748
0.252 0.748 0.252
0.252 0.748 0.748
0.748 0.252 0.252
0.748 0.252 0.748
0.748 0.748 0.252
```

calculated total energy: -114.2 eV per cell
DOS at the Fermi energy: 0.00 states/eV per atom

---

# 17
Here is a PBEsol-optimized structure of KTeCl2 from the Alexandria database. Energies are from SCAN.

The structure in POSCAR format:
```
KTeCl2
1.0
2.871 -3.954 0.000
2.871 3.954 0.000
0.000 0.000 5.764
K Te Cl
1 1 2
direct
0.000 0.000 0.000
0.500 0.500 0.500
0.000 0.000 0.500
0.500 0.500 0.000
```

polymorph energy (0 for the lowest one): 22.7 meV per atom
calculated total energy: -65.1 eV per cell
DOS at the Fermi energy: 0.67 states/eV per atom

---

# 18
Here is a PBEsol-optimized structure of KTeCl2 from the Alexandria database. Energies are from SCAN.

The structure in POSCAR format:
```
KTeCl2
1.0
-1.669 3.364 4.858
1.669 -3.364 4.858
1.669 3.364 -4.858
K Te Cl
1 1 2
direct
0.000 0.000 0.000
0.500 0.500 0.000
0.264 0.764 0.500
0.736 0.236 0.500
```

polymorph energy (0 for the lowest one): 25.9 meV per atom
calculated total energy: -65.1 eV per cell
DOS at the Fermi energy: 0.08 states/eV per atom

---

# 19
Here is a PBEsol-optimized structure of K2TeCl from the Alexandria database. Energies are from SCAN.

The structure in POSCAR format:
```
K2TeCl
1.0
-4.249 4.249 4.350
4.249 -4.249 4.350
4.249 4.249 -4.350
K Te Cl
4 2 2
direct
0.078 0.625 0.953
0.375 0.328 0.453
0.672 0.125 0.047
0.875 0.922 0.547
0.250 0.750 0.500
0.500 0.500 0.000
0.000 0.000 0.000
0.750 0.250 0.500
```

calculated total energy: -133.8 eV per cell
DOS at the Fermi energy: 0.55 states/eV per atom

---

# 20
Here is a PBEsol-optimized structure of K3TeCl from the Alexandria database. Energies are from SCAN.

The structure in POSCAR format:
```
K3TeCl
1.0
5.735 0.000 0.000
0.000 5.735 0.000
0.000 0.000 5.735
K Te Cl
3 1 1
direct
0.000 0.000 0.500
0.000 0.500 0.000
0.500 0.000 0.000
0.500 0.500 0.500
0.000 0.000 0.000
```

calculated total energy: -77.5 eV per cell
DOS at the Fermi energy: 0.00 states/eV per atom

---

# 21
Here is a PBEsol-optimized structure of KTeCl2 from the Alexandria database. Energies are from SCAN.

The structure in POSCAR format:
```
KTeCl2
1.0
4.628 0.000 0.000
0.000 4.525 0.000
-0.331 0.000 5.890
K Te Cl
1 1 2
direct
0.000 0.000 0.000
0.500 0.000 0.500
0.309 0.500 0.719
0.691 0.500 0.281
```

polymorph energy (0 for the lowest one): 0.0 meV per atom
calculated total energy: -65.2 eV per cell
DOS at the Fermi energy: 0.07 states/eV per atom

---

# 22
Here is a PBEsol-optimized structure of K2TiCl from the Alexandria database. Energies are from SCAN.

The structure in POSCAR format:
```
K2TiCl
1.0
-5.886 5.886 2.357
5.886 -5.886 2.357
5.886 5.886 -2.357
K Ti Cl
4 2 2
direct
0.375 0.027 0.152
0.777 0.625 0.652
0.875 0.223 0.848
0.973 0.125 0.348
0.250 0.750 0.500
0.500 0.500 0.000
0.000 0.000 0.000
0.750 0.250 0.500
```

calculated total energy: -82.7 eV per cell
DOS at the Fermi energy: 0.79 states/eV per atom